Arrangement A

Material: Cd2Mo
Method: DFT, PBE
State: relaxed

Cell lengths 5.6586, 5.6586, 5.6586 Å; angles 100.97, 100.97, 128.28 degrees
Fractional coordinates of all 6 atoms:
1 Cd 0.1681 0.6681 0.8363
2 Cd 0.3319 0.1681 0.5000
3 Cd 0.6681 0.8319 0.5000
4 Cd 0.8319 0.3319 0.1637
5 Mo 0.2500 0.2500 0.0000
6 Mo 0.7500 0.7500 0.0000

The value obtained for the density of states at the Fermi level is 2.57 states/eV/f.u.

***

Arrangement B

Material: Cd2Mo
Method: DFT, PBE
State: relaxed

Cell lengths 8.6019, 8.6019, 2.7335 Å; angles 90.00, 90.00, 120.00 degrees
Fractional coordinates of all 9 atoms:
1 Cd 0.0000 0.2983 0.0000
2 Cd 0.0000 0.6239 0.5000
3 Cd 0.2983 0.0000 0.0000
4 Cd 0.3761 0.3761 0.5000
5 Cd 0.6239 0.0000 0.5000
6 Cd 0.7017 0.7017 0.0000
7 Mo 0.0000 0.0000 0.5000
8 Mo 0.3333 0.6667 0.0000
9 Mo 0.6667 0.3333 0.0000

The value obtained for the density of states at the Fermi level is 2.59 states/eV/f.u.

***

Arrangement C

Material: Cd2Mo
Method: DFT, PBE
State: relaxed

Cell lengths 5.4838, 5.4838, 7.5025 Å; angles 109.39, 109.39, 34.29 degrees
Fractional coordinates of all 6 atoms:
1 Cd 0.0145 0.0145 0.2338
2 Cd 0.3349 0.3349 0.3983
3 Cd 0.6651 0.6651 0.6017
4 Cd 0.9855 0.9855 0.7662
5 Mo 0.3130 0.3130 0.9408
6 Mo 0.6870 0.6870 0.0592

The value obtained for the density of states at the Fermi level is 1.14 states/eV/f.u.

***

Arrangement D

Material: Cd2Mo
Method: DFT, PBE
State: relaxed

Cell lengths 2.9531, 2.9531, 7.5245 Å; angles 90.00, 90.00, 120.00 degrees
Fractional coordinates of all 3 atoms:
1 Cd 0.3333 0.6667 0.1780
2 Cd 0.6667 0.3333 0.8220
3 Mo 0.0000 0.0000 0.5000

The value obtained for the density of states at the Fermi level is 2.32 states/eV/f.u.

***

Consider the structures shown above. The least stable of them is arrangement B.